Computed, not measured: a geometry-optimized Na2Be2CrO4 structure at the GGA+U level of DFT.

a = 13.9075 Å, b = 2.9247 Å, c = 5.1236 Å
α = 90.00°, β = 94.81°, γ = 90.00°
Closest atoms and distances in Å follow each position.
Space group C2/m (No. 12)
One atom of each set of equivalent atoms:
Na1 0.1523 0.0000 0.0763 (multiplicity 4)  5 O 2.30-2.55
Be1 0.1891 0.5000 0.5273 (multiplicity 4)  4 O 1.60-1.73
Cr1 0.0000 0.0000 0.5000 (multiplicity 2)  4 O 2.03
O1 0.0847 0.5000 0.3685 (multiplicity 4)  1 Be 1.60
O2 0.2192 0.0000 0.6805 (multiplicity 4)  3 Be 1.70-1.73

Calculated values
Electronic total energy   -111.32 eV for the cell shown